MnAsBr2 | PBE | relaxed

Unit cell a=3.4181 b=4.4380 c=6.1895 alpha=90.00 beta=90.00 gamma=90.00
Sites, in units of the cell vectors:
Mn: 0.0000 0.0000 0.0000
As: 0.5000 0.0000 0.5000
Br: 0.0000 0.5000 0.5000
Br: 0.5000 0.5000 0.0000

Computed properties:
The total energy comes out at -4.0410 eV per atom. The space group is Pmmm, No. 47. As for the polymorph energy (0 for the lowest one): 0.479 eV per atom. The magnetization is 4.8 μB per formula unit. The calculation puts the energy relative to the elements, uncorrected at 0.25 eV per atom.

=====

BeTe3Pt | PBE | relaxed

Unit cell a=4.8407 b=4.8407 c=4.8407 alpha=90.00 beta=90.00 gamma=90.00
Sites, in units of the cell vectors:
Be: 0.0000 0.0000 0.0000
Te: 0.0000 0.0000 0.5000
Te: 0.0000 0.5000 0.0000
Te: 0.5000 0.0000 0.0000
Pt: 0.5000 0.5000 0.5000

Computed properties:
The total energy comes out at -3.1529 eV per atom. The space group is Pm-3m, No. 221. As for the polymorph energy (0 for the lowest one): 0.000 eV per atom. The magnetization is 0.0 μB per formula unit. The calculation puts the energy relative to the elements, uncorrected at 0.69 eV per atom.

=====

SbWSe2 | PBE | relaxed

Unit cell a=5.5748 b=4.8839 c=4.8519 alpha=69.86 beta=55.34 gamma=54.80
Sites, in units of the cell vectors:
Sb: 0.0000 0.0000 0.0000
W: 0.5000 0.5000 0.5000
Se: 0.0000 0.5000 0.5000
Se: 0.5000 0.0000 0.0000

Computed properties:
The total energy comes out at -5.3255 eV per atom. The space group is Fmmm, No. 69. The magnetization is 2.5 μB per formula unit. The calculation puts the energy relative to the elements, uncorrected at 0.69 eV per atom.

=====

HfTiPt2O | PBE | relaxed

Unit cell a=4.4820 b=4.4820 c=4.0458 alpha=90.00 beta=90.00 gamma=90.00
Sites, in units of the cell vectors:
Hf: 0.0000 0.0000 0.0000
Ti: 0.5000 0.5000 0.0000
Pt: 0.0000 0.5000 0.5000
Pt: 0.5000 0.0000 0.5000
O: 0.0000 0.0000 0.5000

Computed properties:
The total energy comes out at -7.5640 eV per atom. The space group is P4/mmm, No. 123. The magnetization is 1.2 μB per formula unit. The calculation puts the energy relative to the elements, uncorrected at -0.59 eV per atom.

=====

La2AgSb3Pd4 | PBE | relaxed

Unit cell a=4.5956 b=4.5956 c=10.7287 alpha=90.00 beta=90.00 gamma=90.00
Sites, in units of the cell vectors:
La: 0.0000 0.5000 0.2433
La: 0.5000 0.0000 0.7567
Ag: 0.0000 0.0000 0.5000
Sb: 0.0000 0.5000 0.8685
Sb: 0.5000 0.0000 0.1315
Sb: 0.5000 0.5000 0.5000
Pd: 0.0000 0.0000 0.0000
Pd: 0.0000 0.5000 0.6287
Pd: 0.5000 0.0000 0.3713
Pd: 0.5000 0.5000 0.0000

Computed properties:
The total energy comes out at -5.4062 eV per atom. The space group is P-4m2, No. 115. The magnetization is 0.0 μB per formula unit. The calculation puts the energy relative to the elements, uncorrected at -0.82 eV per atom.

=====

La12Cr3H5 | PBE | relaxed

Unit cell a=14.0097 b=14.0097 c=14.0097 alpha=109.47 beta=109.47 gamma=109.47
Sites, in units of the cell vectors:
La: 0.0237 0.2125 0.1175
La: 0.0237 0.3112 0.9062
La: 0.0938 0.6175 0.4050
La: 0.0938 0.9763 0.6888
La: 0.0950 0.7125 0.6888
La: 0.0950 0.8825 0.4062
La: 0.1175 0.0237 0.2125
La: 0.1175 0.5938 0.9050
La: 0.1888 0.2125 0.5950
La: 0.1888 0.4763 0.5938
La: 0.2125 0.1175 0.0237
La: 0.2125 0.5950 0.1888
La: 0.2875 0.3112 0.9050
La: 0.2875 0.4763 0.3825
La: 0.3112 0.9050 0.2875
La: 0.3112 0.9062 0.0237
La: 0.3825 0.2875 0.4763
La: 0.3825 0.5950 0.9062
La: 0.4050 0.0938 0.6175
La: 0.4050 0.8112 0.7875
La: 0.4062 0.0950 0.8825
La: 0.4062 0.8112 0.5237
La: 0.4763 0.3825 0.2875
La: 0.4763 0.5938 0.1888
La: 0.5237 0.4062 0.8112
La: 0.5237 0.6175 0.7125
La: 0.5938 0.1888 0.4763
La: 0.5938 0.9050 0.1175
La: 0.5950 0.1888 0.2125
La: 0.5950 0.9062 0.3825
La: 0.6175 0.4050 0.0938
La: 0.6175 0.7125 0.5237
La: 0.6888 0.0938 0.9763
La: 0.6888 0.0950 0.7125
La: 0.7125 0.5237 0.6175
La: 0.7125 0.6888 0.0950
La: 0.7875 0.4050 0.8112
La: 0.7875 0.8825 0.9763
La: 0.8112 0.5237 0.4062
La: 0.8112 0.7875 0.4050
La: 0.8825 0.4062 0.0950
La: 0.8825 0.9763 0.7875
La: 0.9050 0.1175 0.5938
La: 0.9050 0.2875 0.3112
La: 0.9062 0.0237 0.3112
La: 0.9062 0.3825 0.5950
La: 0.9763 0.6888 0.0938
La: 0.9763 0.7875 0.8825
Cr: 0.1250 0.2500 0.3750
Cr: 0.1250 0.3750 0.7500
Cr: 0.2500 0.3750 0.1250
Cr: 0.2500 0.8750 0.6250
Cr: 0.3750 0.1250 0.2500
Cr: 0.3750 0.7500 0.1250
Cr: 0.6250 0.2500 0.8750
Cr: 0.6250 0.8750 0.7500
Cr: 0.7500 0.1250 0.3750
Cr: 0.7500 0.6250 0.8750
Cr: 0.8750 0.6250 0.2500
Cr: 0.8750 0.7500 0.6250
H: 0.0000 0.0000 0.0000
H: 0.0000 0.0000 0.5000
H: 0.0000 0.5000 0.0000
H: 0.0000 0.5000 0.5000
H: 0.1250 0.7500 0.8750
H: 0.1250 0.8750 0.2500
H: 0.2500 0.1250 0.8750
H: 0.2500 0.6250 0.3750
H: 0.3750 0.2500 0.6250
H: 0.3750 0.6250 0.7500
H: 0.5000 0.0000 0.0000
H: 0.5000 0.0000 0.5000
H: 0.5000 0.5000 0.0000
H: 0.5000 0.5000 0.5000
H: 0.6250 0.3750 0.2500
H: 0.6250 0.7500 0.3750
H: 0.7500 0.3750 0.6250
H: 0.7500 0.8750 0.1250
H: 0.8750 0.1250 0.7500
H: 0.8750 0.2500 0.1250

Computed properties:
The total energy comes out at -5.1991 eV per atom. The space group is Ia-3d, No. 230. The magnetization is 8.1 μB per formula unit.

=====

InGaSnPb | PBE | relaxed

Unit cell a=5.3326 b=5.3326 c=5.3326 alpha=60.00 beta=60.00 gamma=60.00
Sites, in units of the cell vectors:
In: 0.0000 0.0000 0.0000
Ga: 0.5000 0.5000 0.5000
Sn: 0.7500 0.7500 0.7500
Pb: 0.2500 0.2500 0.2500

Computed properties:
The total energy comes out at -3.2557 eV per atom. The space group is F-43m, No. 216. The magnetization is 0.0 μB per formula unit. The calculation puts the energy of formation at 113.4 meV/atom.

=====

LiTl2Te2Au | PBE | relaxed

Unit cell a=9.3265 b=9.3265 c=9.3265 alpha=138.78 beta=60.09 gamma=138.28
Sites, in units of the cell vectors:
Li: 0.2500 0.2500 0.0000
Li: 0.7500 0.7500 0.0000
Tl: 0.1673 0.7301 0.8974
Tl: 0.3327 0.2301 0.5628
Tl: 0.6673 0.7699 0.4372
Tl: 0.8327 0.2699 0.1026
Te: 0.1036 0.2396 0.3431
Te: 0.3964 0.7396 0.1360
Te: 0.6036 0.2604 0.8640
Te: 0.8964 0.7604 0.6569
Au: 0.2500 0.7500 0.5000
Au: 0.7500 0.2500 0.5000

Computed properties:
The total energy comes out at -3.0978 eV per atom. The space group is Ibam, No. 72. The magnetization is 0.0 μB per formula unit. The calculation puts the energy relative to the elements, uncorrected at -0.40 eV per atom.

=====

SmSc2ZnAu4 | PBE | relaxed

Unit cell a=8.9269 b=8.9269 c=8.9269 alpha=30.68 beta=30.68 gamma=30.68
Sites, in units of the cell vectors:
Sm: 0.0000 0.0000 0.0000
Sc: 0.2377 0.2377 0.2377
Sc: 0.7623 0.7623 0.7623
Zn: 0.5000 0.5000 0.5000
Au: 0.1238 0.1238 0.1238
Au: 0.3929 0.3929 0.3929
Au: 0.6071 0.6071 0.6071
Au: 0.8762 0.8762 0.8762

Computed properties:
The total energy comes out at -4.6477 eV per atom. The space group is R-3m, No. 166. The magnetization is 0.0 μB per formula unit. The calculation puts the energy of formation at -677.0 meV/atom.

=====

NaYGe2 | PBE | relaxed

Unit cell a=4.4964 b=4.4964 c=4.2257 alpha=90.00 beta=90.00 gamma=90.00
Sites, in units of the cell vectors:
Na: 0.0000 0.0000 0.0000
Y: 0.5000 0.5000 0.0000
Ge: 0.0000 0.5000 0.5000
Ge: 0.5000 0.0000 0.5000

Computed properties:
The total energy comes out at -4.6384 eV per atom. The space group is P4/mmm, No. 123. As for the polymorph energy (0 for the lowest one): 0.000 eV per atom. The magnetization is 0.0 μB per formula unit. The calculation puts the energy of formation at -383.9 meV/atom.

=====

As3C | PBE | relaxed

Unit cell a=4.4036 b=4.4036 c=4.4036 alpha=109.47 beta=109.47 gamma=109.47
Sites, in units of the cell vectors:
As: 0.0000 0.5000 0.5000
As: 0.5000 0.0000 0.5000
As: 0.5000 0.5000 0.0000
C: 0.0000 0.0000 0.0000

Computed properties:
The total energy comes out at -4.6344 eV per atom. The space group is Im-3m, No. 229. As for the polymorph energy (0 for the lowest one): 0.618 eV per atom. The magnetization is 0.0 μB per formula unit. The calculation puts the energy of formation at 1158.7 meV/atom.

=====

CaGaGe | PBE | relaxed

Unit cell a=7.8069 b=7.8069 c=7.8069 alpha=155.96 beta=155.96 gamma=34.26
Sites, in units of the cell vectors:
Ca: 0.0000 0.0000 0.0000
Ga: 0.1996 0.1996 0.0000
Ge: 0.3671 0.3671 0.0000

Computed properties:
The total energy comes out at -3.1612 eV per atom. The space group is I4mm, No. 107. The magnetization is 0.0 μB per formula unit. The calculation puts the energy of formation at 54.1 meV/atom.

=====

Tb2FePb | PBE | relaxed

Unit cell a=10.2408 b=10.2408 c=10.2408 alpha=20.13 beta=20.13 gamma=20.13
Sites, in units of the cell vectors:
Tb: 0.1078 0.1078 0.1078
Tb: 0.8922 0.8922 0.8922
Fe: 0.5000 0.5000 0.5000
Pb: 0.0000 0.0000 0.0000

Computed properties:
The total energy comes out at -5.1608 eV per atom. The space group is R-3m, No. 166. The magnetization is 1.0 μB per formula unit. The calculation puts the energy of formation at 197.0 meV/atom.

=====

NaPmIn6 | PBE | relaxed

Unit cell a=6.5902 b=6.5902 c=4.7884 alpha=90.00 beta=90.00 gamma=90.00
Sites, in units of the cell vectors:
Na: 0.0000 0.0000 0.0000
Pm: 0.5000 0.5000 0.0000
In: 0.0000 0.5000 0.0000
In: 0.2488 0.2488 0.5000
In: 0.2488 0.7512 0.5000
In: 0.5000 0.0000 0.0000
In: 0.7512 0.2488 0.5000
In: 0.7512 0.7512 0.5000

Computed properties:
The total energy comes out at -3.0619 eV per atom. The space group is P4/mmm, No. 123. The magnetization is 0.0 μB per formula unit. The calculation puts the energy of formation at -249.4 meV/atom.

=====

Cu2SbS4 | PBE | relaxed

Unit cell a=5.1616 b=5.1616 c=10.5955 alpha=90.00 beta=90.00 gamma=101.67
Sites, in units of the cell vectors:
Cu: 0.0638 0.7777 0.0000
Cu: 0.2223 0.9362 0.5000
Cu: 0.7777 0.0638 0.5000
Cu: 0.9362 0.2223 0.0000
Sb: 0.5000 0.5000 0.2500
Sb: 0.5000 0.5000 0.7500
S: 0.0000 0.5000 0.1708
S: 0.0000 0.5000 0.8292
S: 0.1577 0.3931 0.5000
S: 0.3931 0.1577 0.0000
S: 0.5000 0.0000 0.3292
S: 0.5000 0.0000 0.6708
S: 0.6069 0.8423 0.0000
S: 0.8423 0.6069 0.5000

Computed properties:
The total energy comes out at -4.1472 eV per atom. The space group is Cccm, No. 66. As for the polymorph energy (0 for the lowest one): 0.059 eV per atom. The magnetization is 0.0 μB per formula unit. The calculation puts the energy relative to the elements, uncorrected at -0.03 eV per atom.

=====

SnTeH | PBE | relaxed

Unit cell a=4.3935 b=6.2106 c=6.3232 alpha=66.75 beta=87.10 gamma=73.45
Sites, in units of the cell vectors:
Sn: 0.1303 0.2026 0.1387
Sn: 0.8697 0.7974 0.8613
Te: 0.2324 0.1793 0.6761
Te: 0.7676 0.8207 0.3239
H: 0.2630 0.5135 0.0069
H: 0.7370 0.4865 0.9931

Computed properties:
The total energy comes out at -3.3968 eV per atom. The space group is P-1, No. 2. The magnetization is 0.0 μB per formula unit.

=====

LiY2Au2 | PBE | relaxed

Unit cell a=5.7168 b=5.7168 c=5.7168 alpha=121.12 beta=121.12 gamma=88.07
Sites, in units of the cell vectors:
Li: 0.0000 0.0000 0.0000
Y: 0.2500 0.7500 0.5000
Y: 0.7500 0.2500 0.5000
Au: 0.3381 0.3381 0.0000
Au: 0.6619 0.6619 0.0000

Computed properties:
The total energy comes out at -4.7354 eV per atom. The space group is I4/mmm, No. 139. As for the polymorph energy (0 for the lowest one): 0.231 eV per atom. The magnetization is 0.0 μB per formula unit. The calculation puts the energy of formation at -456.1 meV/atom.

=====

Hf2MnTc | PBE | relaxed

Unit cell a=3.2369 b=3.2369 c=6.4430 alpha=90.00 beta=90.00 gamma=90.00
Sites, in units of the cell vectors:
Hf: 0.0000 0.0000 0.2498
Hf: 0.0000 0.0000 0.7502
Mn: 0.5000 0.5000 0.0000
Tc: 0.5000 0.5000 0.5000

Computed properties:
The total energy comes out at -10.1661 eV per atom. The space group is P4/mmm, No. 123. The magnetization is 1.5 μB per formula unit. The calculation puts the energy of formation at -305.5 meV/atom.

=====

TiGaBi2O6 | PBE | relaxed

Unit cell a=5.4746 b=5.7742 c=9.4512 alpha=90.00 beta=124.19 gamma=90.00
Sites, in units of the cell vectors:
Ti: 0.0000 0.0000 0.0000
Ti: 0.0000 0.5000 0.5000
Ga: 0.5000 0.0000 0.5000
Ga: 0.5000 0.5000 0.0000
Bi: 0.2315 0.0479 0.7447
Bi: 0.2315 0.4521 0.2447
Bi: 0.7685 0.5479 0.7553
Bi: 0.7685 0.9521 0.2553
O: 0.1550 0.1925 0.4631
O: 0.1550 0.3075 0.9631
O: 0.2585 0.7076 0.4535
O: 0.2585 0.7924 0.9535
O: 0.3398 0.0289 0.2485
O: 0.3398 0.4711 0.7485
O: 0.6602 0.5289 0.2515
O: 0.6602 0.9711 0.7515
O: 0.7415 0.2076 0.0465
O: 0.7415 0.2924 0.5465
O: 0.8450 0.6925 0.0369
O: 0.8450 0.8075 0.5369

Computed properties:
The total energy comes out at -6.5702 eV per atom. The space group is P2_1/c, No. 14. The magnetization is 0.9 μB per formula unit. The calculation puts the energy relative to the elements, uncorrected at -1.73 eV per atom.

=====

LiDyEr2Au4 | PBE | relaxed

Unit cell a=8.6249 b=8.6249 c=8.6249 alpha=33.42 beta=33.42 gamma=33.42
Sites, in units of the cell vectors:
Li: 0.0000 0.0000 0.0000
Dy: 0.5000 0.5000 0.5000
Er: 0.2562 0.2562 0.2562
Er: 0.7438 0.7438 0.7438
Au: 0.1262 0.1262 0.1262
Au: 0.3777 0.3777 0.3777
Au: 0.6223 0.6223 0.6223
Au: 0.8738 0.8738 0.8738

Computed properties:
The total energy comes out at -4.3834 eV per atom. The space group is R-3m, No. 166. The magnetization is 0.0 μB per formula unit. The calculation puts the energy of formation at -789.5 meV/atom.

=====

Ac6TeAs2P3 | PBE | relaxed

Unit cell a=10.1238 b=10.1238 c=9.0935 alpha=103.16 beta=103.16 gamma=25.76
Sites, in units of the cell vectors:
Ac: 0.0014 0.0014 0.2305
Ac: 0.3261 0.3261 0.4160
Ac: 0.3335 0.3335 0.9143
Ac: 0.6665 0.6665 0.0857
Ac: 0.6739 0.6739 0.5840
Ac: 0.9986 0.9986 0.7695
Te: 0.5000 0.5000 0.5000
As: 0.1659 0.1659 0.8318
As: 0.8341 0.8341 0.1682
P: 0.1651 0.1651 0.3329
P: 0.5000 0.5000 0.0000
P: 0.8349 0.8349 0.6671

Computed properties:
The total energy comes out at -5.9564 eV per atom. The space group is C2/m, No. 12. The magnetization is 0.0 μB per formula unit. The calculation puts the energy relative to the elements, uncorrected at -1.51 eV per atom.

=====

ZrV3Hg | PBE | relaxed

Unit cell a=4.9241 b=4.9241 c=4.9241 alpha=90.00 beta=90.00 gamma=90.00
Sites, in units of the cell vectors:
Zr: 0.0000 0.0000 0.0000
V: 0.0000 0.5000 0.5000
V: 0.5000 0.0000 0.5000
V: 0.5000 0.5000 0.0000
Hg: 0.5000 0.5000 0.5000

Computed properties:
The total energy comes out at -5.6373 eV per atom. The space group is Pm-3m, No. 221. As for the polymorph energy (0 for the lowest one): 0.029 eV per atom. The magnetization is 8.6 μB per formula unit. The calculation puts the energy of formation at 1603.9 meV/atom.